a.
Density functional theory data (PBE-GGA) for ZnCuPb3 after structural relaxation.

abc: 5.278 5.278 5.278
angles: 90.00 90.00 90.00
Fractional positions:
1 Pb 0.000 0.500 0.000
2 Pb 0.000 0.000 0.500
3 Pb 0.500 0.000 0.000
4 Zn 0.500 0.500 0.500
5 Cu 0.000 0.000 0.000

Properties
density of states at the Fermi level	0.63	states/eV per atom
space-group type	Pm-3m (221)

***

b.
Density functional theory data (PBE-GGA) for ZnCuPb3 after structural relaxation.

abc: 5.369 5.369 5.369
angles: 90.00 90.00 90.00
Fractional positions:
1 Pb 0.000 0.500 0.000
2 Pb 0.000 0.000 0.500
3 Pb 0.500 0.000 0.000
4 Zn 0.000 0.000 0.000
5 Cu 0.500 0.500 0.500

Properties
density of states at the Fermi level	0.61	states/eV per atom
space-group type	Pm-3m (221)

***

Least stable of them? b.

***

a.
Density functional theory data (PBE-GGA) for Zn2CuPb after structural relaxation.

abc: 4.759 4.759 4.759
angles: 60.00 60.00 60.00
Fractional positions:
1 Pb 0.500 0.500 0.500
2 Zn 0.250 0.250 0.250
3 Zn 0.750 0.750 0.750
4 Cu 0.000 0.000 0.000

Properties
density of states at the Fermi level	0.55	states/eV per atom
space-group type	Fm-3m (225)

***

b.
Density functional theory data (PBE-GGA) for Zn2CuPb after structural relaxation.

abc: 4.466 3.583 5.023
angles: 87.91 90.00 90.00
Fractional positions:
1 Cu 0.500 0.250 0.250
2 Pb 0.500 0.750 0.750
3 Zn 0.000 0.232 0.005
4 Zn 0.000 0.268 0.495

Properties
density of states at the Fermi level	0.16	states/eV per atom
space-group type	P2/m (10)

***

c.
Density functional theory data (PBE-GGA) for Zn2CuPb after structural relaxation.

abc: 4.090 3.331 5.690
angles: 89.95 90.00 90.00
Fractional positions:
1 Cu 0.000 0.375 0.469
2 Pb 0.500 0.874 0.708
3 Zn 0.000 0.875 0.129
4 Zn 0.500 0.375 0.195

Properties
density of states at the Fermi level	0.46	states/eV per atom
space-group type	Pmm2 (25)

***

Least stable of them? a.

***

a.
Density functional theory data (PBE-GGA) for Zn2CuPb after structural relaxation.

abc: 8.873 8.873 8.873
angles: 21.16 21.16 21.16
Fractional positions:
1 Cu 0.250 0.250 0.250
2 Pb 0.750 0.750 0.750
3 Zn 0.981 0.981 0.981
4 Zn 0.519 0.519 0.519

Properties
density of states at the Fermi level	0.38	states/eV per atom
space-group type	R-3m (166)

***

b.
Density functional theory data (PBE-GGA) for Zn2CuPb after structural relaxation.

abc: 5.684 5.684 5.684
angles: 148.80 125.38 64.25
Fractional positions:
1 Cu 0.750 0.250 0.500
2 Pb 0.250 0.750 0.500
3 Zn 0.963 0.963 0.000
4 Zn 0.537 0.537 0.000

Properties
density of states at the Fermi level	0.30	states/eV per atom
space-group type	Immm (71)

***

Least stable of them? a.

***

a.
Density functional theory data (PBE-GGA) for ZnCu3Pb after structural relaxation.

abc: 4.983 4.983 4.983
angles: 90.00 90.00 90.00
Fractional positions:
1 Pb 0.000 0.000 0.000
2 Zn 0.500 0.500 0.500
3 Cu 0.000 0.500 0.000
4 Cu 0.000 0.000 0.500
5 Cu 0.500 0.000 0.000

Properties
density of states at the Fermi level	0.48	states/eV per atom
space-group type	Pm-3m (221)

***

b.
Density functional theory data (PBE-GGA) for ZnCu3Pb after structural relaxation.

abc: 4.572 4.572 4.572
angles: 90.00 90.00 90.00
Fractional positions:
1 Pb 0.500 0.500 0.500
2 Zn 0.000 0.000 0.000
3 Cu 0.000 0.500 0.000
4 Cu 0.000 0.000 0.500
5 Cu 0.500 0.000 0.000

Properties
density of states at the Fermi level	0.41	states/eV per atom
space-group type	Pm-3m (221)

***

Least stable of them? a.

***

a.
Density functional theory data (PBE-GGA) for ZrCuPb2 after structural relaxation.

abc: 4.623 4.621 4.182
angles: 90.00 90.00 90.00
Fractional positions:
1 Cu 0.000 0.500 0.500
2 Pb 0.000 0.000 0.000
3 Pb 0.500 0.500 0.000
4 Zr 0.500 0.000 0.500

Properties
density of states at the Fermi level	0.41	states/eV per atom
space-group type	P4/mmm (123)

***

b.
Density functional theory data (PBE-GGA) for ZrCuPb2 after structural relaxation.

abc: 9.885 9.885 9.885
angles: 19.34 19.34 19.34
Fractional positions:
1 Cu 0.750 0.750 0.750
2 Pb 0.008 0.008 0.008
3 Pb 0.492 0.492 0.492
4 Zr 0.250 0.250 0.250

Properties
density of states at the Fermi level	0.21	states/eV per atom
space-group type	R-3m (166)

***

c.
Density functional theory data (PBE-GGA) for ZrCuPb2 after structural relaxation.

abc: 5.905 5.905 5.279
angles: 69.27 69.27 32.31
Fractional positions:
1 Cu 0.770 0.770 0.802
2 Pb 0.014 0.014 0.931
3 Pb 0.237 0.237 0.314
4 Zr 0.478 0.478 0.454

Properties
density of states at the Fermi level	0.34	states/eV per atom
space-group type	Cm (8)

***

d.
Density functional theory data (PBE-GGA) for ZrCuPb2 after structural relaxation.

abc: 3.640 3.640 6.796
angles: 90.00 90.00 90.00
Fractional positions:
1 Cu 0.500 0.500 0.750
2 Pb 0.000 0.000 0.977
3 Pb 0.000 0.000 0.523
4 Zr 0.500 0.500 0.250

Properties
density of states at the Fermi level	0.70	states/eV per atom
space-group type	P4/mmm (123)

***

Least stable of them? d.

***

a.
Density functional theory data (PBE-GGA) for ZrCuPb2 after structural relaxation.

abc: 7.747 7.747 6.308
angles: 52.12 52.12 90.00
Fractional positions:
1 Pb 0.582 0.125 0.250
2 Pb 0.168 0.625 0.250
3 Pb 0.375 0.418 0.750
4 Pb 0.875 0.832 0.750
5 Cu 0.500 0.500 0.000
6 Cu 0.250 0.750 0.500
7 Zr 0.000 0.000 0.000
8 Zr 0.750 0.250 0.500

Properties
density of states at the Fermi level	0.82	states/eV per atom
space-group type	I-42d (122)

***

b.
Density functional theory data (PBE-GGA) for ZrCuPb2 after structural relaxation.

abc: 5.649 5.649 5.649
angles: 134.38 134.38 66.50
Fractional positions:
1 Cu 0.750 0.250 0.500
2 Pb 0.000 0.000 0.000
3 Pb 0.500 0.500 0.000
4 Zr 0.250 0.750 0.500

Properties
density of states at the Fermi level	0.57	states/eV per atom
space-group type	I4/mmm (139)

***

Least stable of them? a.

***

a.
Density functional theory data (PBE-GGA) for ZrCuPb2 after structural relaxation.

abc: 5.912 5.912 5.912
angles: 138.50 138.50 60.14
Fractional positions:
1 Cu 0.750 0.250 0.500
2 Pb 0.000 0.000 0.000
3 Pb 0.250 0.750 0.500
4 Zr 0.500 0.500 0.000

Properties
density of states at the Fermi level	0.44	states/eV per atom
space-group type	I-4m2 (119)

***

b.
Density functional theory data (PBE-GGA) for ZrCuPb2 after structural relaxation.

abc: 4.689 3.551 5.973
angles: 72.82 90.00 90.00
Fractional positions:
1 Cu 0.500 0.553 0.763
2 Pb 0.000 0.976 0.925
3 Pb 0.500 0.268 0.338
4 Zr 0.000 0.702 0.473

Properties
density of states at the Fermi level	0.73	states/eV per atom
space-group type	Pm (6)

***

Least stable of them? a.

***

a.
Density functional theory data (PBE-GGA) for ZrCuPb2 after structural relaxation.

abc: 5.151 5.151 5.151
angles: 60.00 60.00 60.00
Fractional positions:
1 Cu 0.500 0.500 0.500
2 Pb 0.000 0.000 0.000
3 Pb 0.250 0.250 0.250
4 Zr 0.750 0.750 0.750

Properties
density of states at the Fermi level	0.83	states/eV per atom
space-group type	F-43m (216)

***

b.
Density functional theory data (PBE-GGA) for ZrCuPb2 after structural relaxation.

abc: 3.304 3.304 8.861
angles: 90.00 90.00 90.00
Fractional positions:
1 Cu 0.500 0.500 0.724
2 Pb 0.000 0.000 0.940
3 Pb 0.500 0.500 0.289
4 Zr 0.000 0.000 0.547

Properties
density of states at the Fermi level	0.74	states/eV per atom
space-group type	P4mm (99)

***

Least stable of them? a.

***

a.
Density functional theory data (PBE-GGA) for ZrCuPb2 after structural relaxation.

abc: 4.398 3.274 6.505
angles: 90.69 90.00 90.00
Fractional positions:
1 Cu 0.500 0.750 0.750
2 Pb 0.000 0.738 0.000
3 Pb 0.000 0.762 0.500
4 Zr 0.500 0.250 0.250

Properties
density of states at the Fermi level	0.49	states/eV per atom
space-group type	P2/m (10)

***

b.
Density functional theory data (PBE-GGA) for ZrCuPb2 after structural relaxation.

abc: 10.250 10.250 10.250
angles: 18.92 18.92 18.92
Fractional positions:
1 Cu 0.755 0.755 0.755
2 Pb 0.016 0.016 0.016
3 Pb 0.242 0.242 0.242
4 Zr 0.487 0.487 0.487

Properties
density of states at the Fermi level	0.79	states/eV per atom
space-group type	R3m (160)

***

Least stable of them? a.

***

a.
Density functional theory data (PBE-GGA) for ZrCuPb2 after structural relaxation.

abc: 3.605 3.605 7.210
angles: 90.00 90.00 102.87
Fractional positions:
1 Cu 0.500 0.500 0.750
2 Pb 0.000 0.000 0.975
3 Pb 0.000 0.000 0.525
4 Zr 0.500 0.500 0.250

Properties
density of states at the Fermi level	0.30	states/eV per atom
space-group type	Cmmm (65)

***

b.
Density functional theory data (PBE-GGA) for ZrCuPb2 after structural relaxation.

abc: 5.084 5.084 5.084
angles: 60.00 60.00 60.00
Site moments in Bohr magnetons follow the coordinates.
Fractional positions:
1 Pb 0.250 0.250 0.250  0.03
2 Pb 0.750 0.750 0.750  0.03
3 Cu 0.000 0.000 0.000  0.00
4 Zr 0.500 0.500 0.500  0.35

Properties
density of states at the Fermi level	0.80	states/eV per atom
space-group type	Fm-3m (225)

***

c.
Density functional theory data (PBE-GGA) for ZrCuPb2 after structural relaxation.

abc: 5.901 5.901 5.283
angles: 63.43 63.43 34.19
Fractional positions:
1 Cu 0.750 0.750 0.750
2 Pb 0.028 0.028 0.972
3 Pb 0.472 0.472 0.528
4 Zr 0.250 0.250 0.250

Properties
density of states at the Fermi level	0.44	states/eV per atom
space-group type	Immm (71)

***

d.
Density functional theory data (PBE-GGA) for ZrCuPb2 after structural relaxation.

abc: 3.531 4.237 6.212
angles: 90.00 90.00 90.00
Fractional positions:
1 Cu 0.500 0.500 0.741
2 Pb 0.000 0.000 0.970
3 Pb 0.500 0.500 0.289
4 Zr 0.000 0.000 0.500

Properties
density of states at the Fermi level	0.54	states/eV per atom
space-group type	Pmm2 (25)

***

Least stable of them? b.

***

a.
Density functional theory data (PBE-GGA) for ZrCuPb3 after structural relaxation.

abc: 5.687 5.687 5.687
angles: 90.00 90.00 90.00
Fractional positions:
1 Pb 0.000 0.500 0.000
2 Pb 0.000 0.000 0.500
3 Pb 0.500 0.000 0.000
4 Cu 0.500 0.500 0.500
5 Zr 0.000 0.000 0.000

Properties
density of states at the Fermi level	1.15	states/eV per atom
space-group type	Pm-3m (221)

***

b.
Density functional theory data (PBE-GGA) for ZrCuPb3 after structural relaxation.

abc: 5.187 5.187 5.187
angles: 90.00 90.00 90.00
Fractional positions:
1 Pb 0.000 0.500 0.000
2 Pb 0.000 0.000 0.500
3 Pb 0.500 0.000 0.000
4 Cu 0.000 0.000 0.000
5 Zr 0.500 0.500 0.500

Properties
density of states at the Fermi level	0.73	states/eV per atom
space-group type	Pm-3m (221)

***

Least stable of them? a.

***

a.
Density functional theory data (PBE-GGA) for Cu3Pd2 after structural relaxation.

abc: 2.677 6.430 8.591
angles: 111.71 90.00 90.00
Fractional positions:
1 Cu 0.250 0.361 0.353
2 Cu 0.750 0.639 0.647
3 Cu 0.250 0.054 0.764
4 Cu 0.750 0.946 0.236
5 Cu 0.750 0.426 0.862
6 Cu 0.250 0.574 0.138
7 Pd 0.250 0.796 0.449
8 Pd 0.750 0.204 0.551
9 Pd 0.250 0.797 0.939
10 Pd 0.750 0.203 0.061

Properties
density of states at the Fermi level	0.31	states/eV per atom
space-group type	P2_1/m (11)

***

b.
Density functional theory data (PBE-GGA) for Cu3Pd2 after structural relaxation.

abc: 3.012 3.012 14.750
angles: 90.00 90.00 90.00
Fractional positions:
1 Cu 0.500 0.500 0.089
2 Cu 0.500 0.500 0.295
3 Cu 0.500 0.500 0.500
4 Cu 0.500 0.500 0.705
5 Cu 0.500 0.500 0.911
6 Cu 0.000 0.000 0.000
7 Pd 0.000 0.000 0.191
8 Pd 0.000 0.000 0.397
9 Pd 0.000 0.000 0.603
10 Pd 0.000 0.000 0.809

Properties
density of states at the Fermi level	0.64	states/eV per atom
space-group type	P4/mmm (123)

***

Least stable of them? a.